{"formula": "TiSiP2S", "functional": "PBE", "state": "optimized geometry", "sg": "P4/mmm, No. 123", "crystal_system": "tetragonal", "vol_a3_per_atom": 20.62, "polymorph_energy_ev_per_atom": 0.000, "raw_formation_energy_ev_per_atom": 0.372, "e_tot_ev_per_atom": -5.2808, "lattice": [[-0.0393, 2.6335, 3.9457], [-4.1873, -1.8738, 1.2090], [2.1533, -3.3539, 2.2599]], "species": ["Si", "P", "P", "S", "Ti"], "fractional_positions": [[0.5000, 0.5000, 0.5000], [0.5000, 0.0000, 0.0000], [0.0000, 0.5000, 0.0000], [0.0000, 0.0000, 0.5000], [0.0000, 0.0000, 0.0000]]}



{"formula": "Dy2HgOs", "functional": "PBE", "state": "optimized geometry", "formation_enthalpy_0k_ev_per_fu": -1.530, "sg": "P4/mmm, No. 123", "crystal_system": "tetragonal", "vol_a3_per_atom": 22.80, "polymorph_energy_ev_per_atom": 0.000, "e_tot_ev_per_atom": -5.5664, "lattice": [[-1.2659, 1.3227, 2.9253], [-3.1926, -0.8502, -0.9971], [0.7512, -6.8169, 3.4074]], "species": ["Os", "Dy", "Dy", "Hg"], "fractional_positions": [[0.5000, 0.5000, 0.0000], [0.0000, 0.0000, 0.2172], [0.0000, 0.0000, 0.7828], [0.5000, 0.5000, 0.5000]]}



{"formula": "Nb3AsSe", "functional": "PBE", "state": "optimized geometry", "sg": "Pm-3m, No. 221", "crystal_system": "cubic", "vol_a3_per_atom": 21.41, "polymorph_energy_ev_per_atom": 0.000, "raw_formation_energy_ev_per_atom": 0.721, "e_tot_ev_per_atom": -6.9478, "lattice": [[-2.9345, -1.9164, -3.2038], [1.9267, -4.2679, 0.7881], [-3.1976, -0.8129, 3.4151]], "species": ["Nb", "Nb", "Nb", "Se", "As"], "fractional_positions": [[0.5000, 0.0000, 0.0000], [0.0000, 0.5000, 0.0000], [0.0000, 0.0000, 0.5000], [0.0000, 0.0000, 0.0000], [0.5000, 0.5000, 0.5000]]}



Please write out number 1 again, unchanged.
{"formula": "TiSiP2S", "functional": "PBE", "state": "optimized geometry", "sg": "P4/mmm, No. 123", "crystal_system": "tetragonal", "vol_a3_per_atom": 20.62, "polymorph_energy_ev_per_atom": 0.000, "raw_formation_energy_ev_per_atom": 0.372, "e_tot_ev_per_atom": -5.2808, "lattice": [[-0.0393, 2.6335, 3.9457], [-4.1873, -1.8738, 1.2090], [2.1533, -3.3539, 2.2599]], "species": ["Si", "P", "P", "S", "Ti"], "fractional_positions": [[0.5000, 0.5000, 0.5000], [0.5000, 0.0000, 0.0000], [0.0000, 0.5000, 0.0000], [0.0000, 0.0000, 0.5000], [0.0000, 0.0000, 0.0000]]}